First-principles (GGA-PBE) data for crystalline NdTm2Th3Se6 at its relaxed geometry, as listed in the Alexandria database.

The value obtained for the density of states at the Fermi level is 0.66 states/eV per atom. As for the uncorrected formation energy: -1.620 eV per atom. The calculation puts the total energy at -152.63 eV per cell.

It has space group C2/m (No. 12), with a = 6.996 Å, b = 12.059 Å, c = 7.538 Å, α = 90.00°, β = 107.86° and γ = 90.00°. The distinct sites, in fractional coordinates, are Nd at (0.000, 0.000, 0.000), Tm at (0.000, 0.331, 0.000), Th at (0.000, 0.160, 0.500), Th at (0.000, 0.500, 0.500), Se at (0.230, 0.500, 0.228) and Se at (0.248, 0.327, 0.763).


First-principles (GGA-PBE) data for crystalline Dy2AgIr at its relaxed geometry, as listed in the Alexandria database.

The value obtained for the density of states at the Fermi level is 0.80 states/eV per atom. The relative energy among the computed polymorphs is 0.05 eV/f.u. The value obtained for the formation enthalpy at 0 K is -58 kJ/mol of atoms. The calculation puts the total energy at -93.27 eV per cell.

It has space group Fm-3m (No. 225), with a = 7.031 Å, b = 7.031 Å, c = 7.031 Å, α = 90.00°, β = 90.00° and γ = 90.00°. The distinct sites, in fractional coordinates, are Dy at (0.250, 0.250, 0.250), Ag at (0.000, 0.000, 0.000) and Ir at (0.000, 0.000, 0.500).


First-principles (GGA-PBE) data for crystalline DyPaC at its relaxed geometry, as listed in the Alexandria database.

The value obtained for the density of states at the Fermi level is 1.46 states/eV per atom. The relative energy among the computed polymorphs is 1.20 eV/f.u. The value obtained for the formation enthalpy at 0 K is 19 kJ/mol of atoms. The calculation puts the total energy at -45.45 eV per cell.

It has space group I4mm (No. 107), with a = 3.155 Å, b = 3.155 Å, c = 11.738 Å, α = 90.00°, β = 90.00° and γ = 90.00°. The distinct sites, in fractional coordinates, are Dy at (0.000, 0.000, 0.000), Pa at (0.000, 0.000, 0.753) and C at (0.000, 0.000, 0.348).


First-principles (GGA-PBE) data for crystalline YIn2AgCl6 at its relaxed geometry, as listed in the Alexandria database.

The value obtained for the density of states at the Fermi level is 0.00 states/eV per atom. As for the uncorrected formation energy: -1.333 eV per atom. The calculation puts the total energy at -78.40 eV per cell.

It has space group P2_1/c (No. 14), with a = 7.291 Å, b = 7.690 Å, c = 12.609 Å, α = 90.00°, β = 124.31° and γ = 90.00°. The distinct sites, in fractional coordinates, are Y at (0.000, 0.000, 0.000), In at (0.277, 0.074, 0.755), Ag at (0.500, 0.000, 0.500), Cl at (0.150, 0.023, 0.247), Cl at (0.236, 0.712, 0.048) and Cl at (0.341, 0.189, 0.043).